Entry 1:
Here is ScRu2Cl after structural relaxation from Alexandria. Energies are from GGA-PBE.

Cell lengths 5.3432, 5.3432, 5.3432 Å; angles 147.08, 130.05, 61.12 degrees
Last column: nearest neighbours and their distance in Å.
Element x y z (fractional)
Ru: 0.0075 0.0075 0.0000  2 Cl 2.65, 2 Ru 2.67, 4 Sc 2.73
Ru: 0.7685 0.2685 0.5000  2 Ru 2.67, 4 Cl 2.73, 2 Sc 2.98
Cl: 0.2436 0.7436 0.5000  6 Ru 2.65-2.73, 2 Sc 2.65
Sc: 0.4803 0.4803 0.0000  2 Cl 2.65, 4 Ru 2.73

Computed properties:
Uncorrected formation energy: 0.161 eV/atom
Space-group type: No. 44

Entry 2:
Here is ScRu2Cl after structural relaxation from Alexandria. Energies are from GGA-PBE.

Cell lengths 4.3987, 4.3987, 3.2020 Å; angles 90.00, 90.00, 90.00 degrees
Last column: nearest neighbours and their distance in Å.
Element x y z (fractional)
Ru: 0.5000 0.5000 0.0000  4 Cl 2.72, 4 Sc 2.72
Ru: 0.0000 0.0000 0.0000  4 Cl 2.72, 4 Sc 2.72
Cl: 0.0000 0.5000 0.5000  8 Ru 2.72
Sc: 0.5000 0.0000 0.5000  8 Ru 2.72

Computed properties:
Uncorrected formation energy: 0.290 eV/atom
Space-group type: No. 123

Entry 3:
Here is ScRuCl2 after structural relaxation from Alexandria. Energies are from GGA-PBE.

Cell lengths 7.0434, 7.0434, 4.3534 Å; angles 85.55, 85.55, 26.90 degrees
Last column: nearest neighbours and their distance in Å.
Element x y z (fractional)
Ru: 0.2500 0.2500 0.2500  2 Cl 2.36
Cl: 0.1114 0.1114 0.9604  1 Ru 2.36, 2 Sc 2.62
Cl: 0.3886 0.3886 0.5396  1 Ru 2.36, 2 Sc 2.62
Sc: 0.7500 0.7500 0.7500  4 Cl 2.62, 4 Ru 2.72

Computed properties:
Uncorrected formation energy: -0.796 eV/atom
Space-group type: No. 12

Entry 4:
Here is ScRuCl2 after structural relaxation from Alexandria. Energies are from GGA-PBE.

Cell lengths 4.5203, 4.5203, 4.5203 Å; angles 60.00, 60.00, 60.00 degrees
Last column: nearest neighbours and their distance in Å.
Element x y z (fractional)
Cl: 0.7500 0.7500 0.7500  4 Sc 2.77, 4 Ru 2.77
Cl: 0.2500 0.2500 0.2500  4 Ru 2.77, 4 Sc 2.77
Ru: 0.5000 0.5000 0.5000  8 Cl 2.77
Sc: 0.0000 0.0000 0.0000  8 Cl 2.77

Computed properties:
Uncorrected formation energy: -0.204 eV/atom
Space-group type: No. 225

Entry 5:
Here is ScRuCl2 after structural relaxation from Alexandria. Energies are from GGA-PBE.

Cell lengths 5.3132, 5.3132, 5.3865 Å; angles 84.66, 84.66, 35.02 degrees
Last column: nearest neighbours and their distance in Å.
Element x y z (fractional)
Ru: 0.4094 0.4094 0.5703  3 Cl 2.35-2.62, 2 Sc 2.53
Sc: 0.7729 0.7729 0.8544  2 Ru 2.53, 5 Cl 2.66-2.79
Cl: 0.0497 0.0497 0.8266  2 Ru 2.62, 3 Sc 2.79
Cl: 0.2680 0.2680 0.2488  1 Ru 2.35

Computed properties:
Uncorrected formation energy: -0.668 eV/atom
Space-group type: No. 8

Entry 6:
Here is ScRuCl2 after structural relaxation from Alexandria. Energies are from GGA-PBE.

Cell lengths 4.0445, 4.2972, 4.3005 Å; angles 87.20, 90.00, 90.00 degrees
Last column: nearest neighbours and their distance in Å.
Element x y z (fractional)
Cl: 0.0000 0.4862 0.4863  2 Ru 2.50, 2 Sc 2.61
Cl: 0.0000 0.0138 0.0137  2 Ru 2.50, 2 Sc 2.61
Sc: 0.5000 0.7500 0.7500  4 Cl 2.61
Ru: 0.5000 0.2500 0.2500  4 Cl 2.50

Computed properties:
Uncorrected formation energy: -0.409 eV/atom
Space-group type: No. 65